LaScCl after structural relaxation, computed with PBE-GGA.

abc: 3.425 3.425 13.461
angles: 90.00 90.00 90.00
Element x y z (fractional)
La  0.000  0.000  0.000
La  0.500  0.500  0.500
Sc  0.000  0.000  0.681
Sc  0.500  0.500  0.181
Cl  0.000  0.000  0.307
Cl  0.500  0.500  0.807

## Properties
E_tot (eV per atom): -5.05
Uncorrected formation energy (eV/atom): -0.683
Polymorph energy (0 for the lowest one) (meV per atom): 173.6

=====

LaSc2Cl after structural relaxation, computed with PBE-GGA.

abc: 4.223 4.223 12.439
angles: 90.00 90.00 90.00
Element x y z (fractional)
La  0.000  0.000  0.000
La  0.500  0.500  0.500
Sc  0.000  0.500  0.250
Sc  0.000  0.500  0.750
Sc  0.500  0.000  0.250
Sc  0.500  0.000  0.750
Cl  0.000  0.000  0.500
Cl  0.500  0.500  0.000

## Properties
E_tot (eV per atom): -5.04
Uncorrected formation energy (eV/atom): -0.184
Polymorph energy (0 for the lowest one) (meV per atom): 376.4

=====

LaSc2Cl after structural relaxation, computed with PBE-GGA.

abc: 3.360 3.360 9.099
angles: 90.00 90.00 90.00
Element x y z (fractional)
La  0.000  0.000  0.000
Sc  0.000  0.000  0.537
Sc  0.500  0.500  0.301
Cl  0.500  0.500  0.756

## Properties
E_tot (eV per atom): -5.35
Uncorrected formation energy (eV/atom): -0.494
Polymorph energy (0 for the lowest one) (meV per atom): 66.6

=====

LaSc2Cl after structural relaxation, computed with PBE-GGA.

abc: 7.510 7.510 7.510
angles: 90.00 90.00 90.00
Element x y z (fractional)
La  0.000  0.000  0.000
La  0.000  0.500  0.500
La  0.500  0.000  0.500
La  0.500  0.500  0.000
Sc  0.000  0.000  0.500
Sc  0.000  0.500  0.000
Sc  0.250  0.250  0.250
Sc  0.250  0.750  0.750
Sc  0.500  0.000  0.000
Sc  0.500  0.500  0.500
Sc  0.750  0.250  0.750
Sc  0.750  0.750  0.250
Cl  0.250  0.250  0.750
Cl  0.250  0.750  0.250
Cl  0.750  0.250  0.250
Cl  0.750  0.750  0.750

## Properties
E_tot (eV per atom): -4.81
Uncorrected formation energy (eV/atom): 0.045
Polymorph energy (0 for the lowest one) (meV per atom): 605.5